Entry from Alexandria: a geometry-optimized LuTe2As structure (PBE-GGA).

Cell lengths 4.0261, 4.0261, 9.6026 Å; angles 77.90, 77.90, 60.00 degrees
Last column: nearest neighbours and their distance in Å.
Positions (direct):
Te 0.8941 0.8941 0.3178  3 As 2.88, 1 Lu 2.96
Te 0.1059 0.1059 0.6822  3 As 2.88, 1 Lu 2.96
Lu 0.0000 0.0000 0.0000  2 Te 2.96
As 0.5000 0.5000 0.5000  6 Te 2.88

- Symmetry: R-3m (166)
- ΔE_f (raw): -0.9 kJ per mole of atoms
- VASP energy: -3.87 eV per atom

***

Entry from Alexandria: a geometry-optimized Pm4Cd2Ru structure (PBE-GGA).

Cell lengths 5.3563, 5.3563, 8.7290 Å; angles 107.87, 107.87, 90.00 degrees
Last column: nearest neighbours and their distance in Å.
Positions (direct):
Pm 0.5000 0.0000 0.0000  2 Ru 2.68
Pm 0.8221 0.8221 0.6441  1 Ru 2.80, 1 Cd 3.12
Pm 0.1779 0.1779 0.3559  1 Ru 2.80, 1 Cd 3.12
Pm 0.0000 0.5000 0.0000  2 Ru 2.68
Cd 0.6236 0.6236 0.2473  5 Pm 3.12-3.31
Cd 0.3764 0.3764 0.7527  5 Pm 3.12-3.31
Ru 0.0000 0.0000 0.0000  6 Pm 2.68-2.80

- Symmetry: I4/mmm (139)
- Formation energy: -0.06 eV per atom
- ΔE to the lowest computed polymorph: 0.095 eV per atom
- VASP energy: -4.36 eV per atom

***

Entry from Alexandria: a geometry-optimized Sr2Ag2PdO6 structure (PBE-GGA).

Cell lengths 6.1986, 6.1986, 6.3954 Å; angles 61.01, 61.01, 60.00 degrees
Last column: nearest neighbours and their distance in Å.
Positions (direct):
O 0.7742 0.7742 0.2551  1 Pd 2.03, 1 Ag 2.08
O 0.2258 0.8035 0.7449  1 Pd 2.03, 1 Ag 2.08
O 0.8035 0.2258 0.7449  1 Pd 2.03, 1 Ag 2.08
O 0.1965 0.7742 0.2551  1 Pd 2.03, 1 Ag 2.08
O 0.7742 0.1965 0.2551  1 Pd 2.03, 1 Ag 2.08
O 0.2258 0.2258 0.7449  1 Pd 2.03, 1 Ag 2.08
Sr 0.2079 0.2079 0.3764  3 O 2.47
Sr 0.7921 0.7921 0.6236  3 O 2.47
Pd 0.0000 0.0000 0.0000  6 O 2.03
Ag 0.5932 0.5932 0.2205  3 O 2.08
Ag 0.4068 0.4068 0.7795  3 O 2.08

- Symmetry: R-3m (166)
- ΔE_f (raw): -92.1 kJ per mole of atoms
- VASP energy: -4.96 eV per atom

***

| no. | total magnetization (μB per formula unit) |
| --- | --- |
| 1 | 0.008 |
| 2 | 0.000 |
| 3 | 2.110 |